No. 1
First-principles (PBE) data for a relaxed structure of LaIn2Os, as listed in Alexandria via LeMat-Bulk.

Formation energy: 86 meV per atom
VASP energy: -21.3 eV per cell
N(E_F): 2.81 states/eV/f.u.

```
data_LaIn2Os
_cell_length_a 5.008
_cell_length_b 5.008
_cell_length_c 5.008
_cell_angle_alpha 60.00
_cell_angle_beta 60.00
_cell_angle_gamma 60.00
_symmetry_space_group_name_H-M 'P 1'
_symmetry_Int_Tables_number 1
loop_
_symmetry_equiv_pos_as_xyz
'x,y,z'
loop_
_atom_site_label
_atom_site_type_symbol
_atom_site_fract_x
_atom_site_fract_y
_atom_site_fract_z
_atom_site_occupancy
La1 La 0.000 0.000 0.000 1
In1 In 0.750 0.750 0.750 1
In2 In 0.250 0.250 0.250 1
Os1 Os 0.500 0.500 0.500 1
```


No. 2
First-principles (PBE) data for a relaxed structure of NaPr2Pd, as listed in Alexandria via LeMat-Bulk.

Formation energy: -215 meV per atom
VASP energy: -16.9 eV per cell
Relative energy among the computed polymorphs: 0.044 eV/atom
N(E_F): 3.73 states/eV/f.u.

```
data_NaPr2Pd
_cell_length_a 4.242
_cell_length_b 4.242
_cell_length_c 9.653
_cell_angle_alpha 77.31
_cell_angle_beta 77.31
_cell_angle_gamma 60.00
_symmetry_space_group_name_H-M 'P 1'
_symmetry_Int_Tables_number 1
loop_
_symmetry_equiv_pos_as_xyz
'x,y,z'
loop_
_atom_site_label
_atom_site_type_symbol
_atom_site_fract_x
_atom_site_fract_y
_atom_site_fract_z
_atom_site_occupancy
Na1 Na 0.500 0.500 0.500 1
Pr1 Pr 0.278 0.278 0.167 1
Pr2 Pr 0.722 0.722 0.833 1
Pd1 Pd 0.000 0.000 0.000 1
```


No. 3
First-principles (PBE) data for a relaxed structure of KVI2N, as listed in Alexandria via LeMat-Bulk.

Formation energy from raw total energies: 1.21 eV/atom
VASP energy: -15.6 eV per cell
Relative energy among the computed polymorphs: 1.698 eV/atom
N(E_F): 9.12 states/eV/f.u.

```
data_KVI2N
_cell_length_a 6.370
_cell_length_b 6.370
_cell_length_c 4.945
_cell_angle_alpha 90.00
_cell_angle_beta 90.00
_cell_angle_gamma 90.00
_symmetry_space_group_name_H-M 'P 1'
_symmetry_Int_Tables_number 1
loop_
_symmetry_equiv_pos_as_xyz
'x,y,z'
loop_
_atom_site_label
_atom_site_type_symbol
_atom_site_fract_x
_atom_site_fract_y
_atom_site_fract_z
_atom_site_occupancy
I1 I 0.000 0.500 0.000 1
I2 I 0.500 0.000 0.000 1
V1 V 0.500 0.500 0.500 1
N1 N 0.000 0.000 0.500 1
K1 K 0.000 0.000 0.000 1
```